[1]
Computed, not measured: crystalline K2TcNi at its relaxed geometry at the PBE level of DFT.

```
K2TcNi
1.0
0.0000 3.9131 3.9131
3.9131 0.0000 3.9131
3.9131 3.9131 0.0000
K Tc Ni
2 1 1
direct
0.2500 0.2500 0.2500
0.7500 0.7500 0.7500
0.0000 0.0000 0.0000
0.5000 0.5000 0.5000
```

Properties
ΔE_f ... 6.66 eV/f.u.
Total energy ... -2.920 eV per atom
Distance to the lowest polymorph of the same formula ... 0.9519 eV per atom
Space group ... No. 225
Density of states at the Fermi level ... 4.57 states/eV/f.u.
Mass density ... 3.25 g/cm3

[2]
Computed, not measured: crystalline KTc2Ni at its relaxed geometry at the PBE level of DFT.

```
KTc2Ni
1.0
0.0000 3.1834 3.1834
3.1834 0.0000 3.1834
3.1834 3.1834 0.0000
K Tc Ni
1 2 1
direct
0.0000 0.0000 0.0000
0.2500 0.2500 0.2500
0.5000 0.5000 0.5000
0.7500 0.7500 0.7500
```

Properties
ΔE_f ... 5.15 eV/f.u.
Total energy ... -5.615 eV per atom
Distance to the lowest polymorph of the same formula ... 0.6391 eV per atom
Space group ... No. 216
Density of states at the Fermi level ... 4.71 states/eV/f.u.
Mass density ... 7.56 g/cm3

Question: Which value of mass density does entry 1 give?
Answer: 3.25 g/cm3